1.
Ba2GeHPt: relaxed, PBE-GGA.

Cell and atoms, written as CIF:
```
data_Ba2GeHPt
_chemical_formula_sum 'Ba2 Ge1 H1 Pt1'
_cell_length_a 5.836
_cell_length_b 5.836
_cell_length_c 3.738
_cell_angle_alpha 90.00
_cell_angle_beta 90.00
_cell_angle_gamma 90.00
_space_group_name_H-M_alt 'P 4/m m m'
_space_group_IT_number 123
_space_group_name_Hall '-P 4 2'
loop_
_atom_site_label
_atom_site_fract_x
_atom_site_fract_y
_atom_site_fract_z
Ba1 0.000 0.500 0.000
Ge1 0.000 0.000 0.500
H1 0.500 0.500 0.000
Pt1 0.500 0.500 0.500
```

Fermi-level density of states: 0.534 states/eV per atom
VASP energy: -4.06 eV per atom

---

2.
InAg2Pt: relaxed, PBE-GGA.

Cell and atoms, written as CIF:
```
data_InAg2Pt
_chemical_formula_sum 'In1 Ag2 Pt1'
_cell_length_a 4.041
_cell_length_b 4.041
_cell_length_c 4.401
_cell_angle_alpha 90.00
_cell_angle_beta 90.00
_cell_angle_gamma 90.00
_space_group_name_H-M_alt 'P 4/m m m'
_space_group_IT_number 123
_space_group_name_Hall '-P 4 2'
loop_
_atom_site_label
_atom_site_fract_x
_atom_site_fract_y
_atom_site_fract_z
In1 0.000 0.000 0.000
Ag1 0.000 0.500 0.500
Pt1 0.500 0.500 0.000
```

Fermi-level density of states: 0.396 states/eV per atom
energy of formation from the pure elements: -0.168 eV per atom

---

3.
Tb2Ga2Sn7: relaxed, PBE-GGA.

Cell and atoms, written as CIF:
```
data_Tb2Ga2Sn7
_chemical_formula_sum 'Tb4 Ga4 Sn14'
_cell_length_a 11.979
_cell_length_b 9.656
_cell_length_c 5.913
_cell_angle_alpha 90.00
_cell_angle_beta 119.17
_cell_angle_gamma 90.00
_space_group_name_H-M_alt 'C 1 2/m 1'
_space_group_IT_number 12
loop_
_space_group_symop_operation_xyz
'x,y,z'
'-x,-y,-z'
'-x,y,-z'
'x,-y,z'
'x+1/2,y+1/2,z'
'-x+1/2,-y+1/2,-z'
'-x+1/2,y+1/2,-z'
'x+1/2,-y+1/2,z'
loop_
_atom_site_label
_atom_site_fract_x
_atom_site_fract_y
_atom_site_fract_z
Tb1 0.000 0.189 0.000
Ga1 0.217 0.000 0.394
Sn1 0.000 0.000 0.500
Sn2 0.012 0.500 0.257
Sn3 0.178 0.258 0.710
```

Fermi-level density of states: 0.540 states/eV per atom
energy of formation from the pure elements: -0.168 eV per atom

---

4.
Rb2NpNiS4: relaxed, PBE-GGA.

Cell and atoms, written as CIF:
```
data_Rb2NpNiS4
_chemical_formula_sum 'Rb4 Np2 Ni2 S8'
_cell_length_a 7.329
_cell_length_b 8.856
_cell_length_c 7.660
_cell_angle_alpha 90.00
_cell_angle_beta 90.00
_cell_angle_gamma 90.00
_space_group_name_H-M_alt 'P m m n'
_space_group_IT_number 59
loop_
_space_group_symop_operation_xyz
'x,y,z'
'-x,-y,-z'
'-x+1/2,-y+1/2,z'
'x+1/2,y+1/2,-z'
'x+1/2,-y,-z'
'-x+1/2,y,z'
'-x,y+1/2,-z'
'x,-y+1/2,z'
loop_
_atom_site_label
_atom_site_fract_x
_atom_site_fract_y
_atom_site_fract_z
Rb1 0.250 0.006 0.238
Np1 0.250 0.250 0.783
Ni1 0.250 0.750 0.826
S1 0.007 0.750 0.006
S2 0.250 0.525 0.685
```

Fermi-level density of states: 1.203 states/eV per atom
raw formation energy: -833 meV per atom

---

5.
Rb2NdSe2O6: relaxed, PBE-GGA.

Cell and atoms, written as CIF:
```
data_Rb2NdSe2O6
_chemical_formula_sum 'Rb4 Nd2 Se4 O12'
_cell_length_a 9.827
_cell_length_b 6.360
_cell_length_c 7.575
_cell_angle_alpha 90.00
_cell_angle_beta 112.78
_cell_angle_gamma 90.00
_space_group_name_H-M_alt 'C 1 2/m 1'
_space_group_IT_number 12
loop_
_space_group_symop_operation_xyz
'x,y,z'
'-x,-y,-z'
'-x,y,-z'
'x,-y,z'
'x+1/2,y+1/2,z'
'-x+1/2,-y+1/2,-z'
'-x+1/2,y+1/2,-z'
'x+1/2,-y+1/2,z'
loop_
_atom_site_label
_atom_site_fract_x
_atom_site_fract_y
_atom_site_fract_z
Rb1 0.204 0.000 0.153
Nd1 0.000 0.000 0.500
Se1 0.075 0.500 0.235
O1 0.015 0.256 0.740
O2 0.240 0.500 0.433
```

Fermi-level density of states: 0.256 states/eV per atom
raw formation energy: -1540 meV per atom

---

6.
NbInCl3: relaxed, PBE-GGA.

Cell and atoms, written as CIF:
```
data_NbInCl3
_chemical_formula_sum 'Nb1 In1 Cl3'
_cell_length_a 5.156
_cell_length_b 5.156
_cell_length_c 5.156
_cell_angle_alpha 90.00
_cell_angle_beta 90.00
_cell_angle_gamma 90.00
_space_group_name_H-M_alt 'P m -3 m'
_space_group_IT_number 221
_space_group_name_Hall '-P 4 2 3'
loop_
_atom_site_label
_atom_site_fract_x
_atom_site_fract_y
_atom_site_fract_z
Nb1 0.000 0.000 0.000
In1 0.500 0.500 0.500
Cl1 0.000 0.000 0.500
```

Fermi-level density of states: 0.193 states/eV per atom
relative energy among the computed polymorphs: 162.7 meV per atom
raw formation energy: -662 meV per atom

---

7.
Nd2Y2Tm: relaxed, PBE-GGA.

Cell and atoms, written as CIF:
```
data_Nd2Y2Tm
_chemical_formula_sum 'Nd8 Y8 Tm4'
_cell_length_a 15.911
_cell_length_b 6.319
_cell_length_c 6.823
_cell_angle_alpha 90.00
_cell_angle_beta 103.81
_cell_angle_gamma 90.00
_space_group_name_H-M_alt 'C 1 2/c 1'
_space_group_IT_number 15
loop_
_space_group_symop_operation_xyz
'x,y,z'
'-x,-y,-z'
'-x,y,-z+1/2'
'x,-y,z+1/2'
'x+1/2,y+1/2,z'
'-x+1/2,-y+1/2,-z'
'-x+1/2,y+1/2,-z+1/2'
'x+1/2,-y+1/2,z+1/2'
loop_
_atom_site_label
_atom_site_fract_x
_atom_site_fract_y
_atom_site_fract_z
Nd1 0.100 0.082 0.445
Y1 0.199 0.419 0.152
Tm1 0.000 0.416 0.750
```

Fermi-level density of states: 1.705 states/eV per atom
relative energy among the computed polymorphs: 0.0 meV per atom
energy of formation from the pure elements: 0.015 eV per atom

---

8.
SrNb2TcBr: relaxed, PBE-GGA.

Cell and atoms, written as CIF:
```
data_SrNb2TcBr
_chemical_formula_sum 'Sr1 Nb2 Tc1 Br1'
_cell_length_a 4.887
_cell_length_b 4.887
_cell_length_c 4.776
_cell_angle_alpha 90.00
_cell_angle_beta 90.00
_cell_angle_gamma 90.00
_space_group_name_H-M_alt 'P 4/m m m'
_space_group_IT_number 123
_space_group_name_Hall '-P 4 2'
loop_
_atom_site_label
_atom_site_fract_x
_atom_site_fract_y
_atom_site_fract_z
Sr1 0.000 0.000 0.000
Nb1 0.000 0.500 0.500
Tc1 0.500 0.500 0.000
Br1 0.500 0.500 0.500
```

Fermi-level density of states: 1.033 states/eV per atom
raw formation energy: 1082 meV per atom

---

9.
Ti3BiS: relaxed, PBE-GGA.

Cell and atoms, written as CIF:
```
data_Ti3BiS
_chemical_formula_sum 'Ti3 Bi1 S1'
_cell_length_a 4.580
_cell_length_b 4.580
_cell_length_c 4.580
_cell_angle_alpha 90.00
_cell_angle_beta 90.00
_cell_angle_gamma 90.00
_space_group_name_H-M_alt 'P m -3 m'
_space_group_IT_number 221
_space_group_name_Hall '-P 4 2 3'
loop_
_atom_site_label
_atom_site_fract_x
_atom_site_fract_y
_atom_site_fract_z
Ti1 0.000 0.000 0.500
Bi1 0.500 0.500 0.500
S1 0.000 0.000 0.000
```

Fermi-level density of states: 1.137 states/eV per atom
relative energy among the computed polymorphs: 139.9 meV per atom
raw formation energy: -392 meV per atom

---

10.
TiCo2ReH: relaxed, PBE-GGA.

Cell and atoms, written as CIF:
```
data_TiCo2ReH
_chemical_formula_sum 'Ti1 Co2 Re1 H1'
_cell_length_a 3.696
_cell_length_b 3.696
_cell_length_c 3.877
_cell_angle_alpha 90.00
_cell_angle_beta 90.00
_cell_angle_gamma 90.00
_space_group_name_H-M_alt 'P 4/m m m'
_space_group_IT_number 123
_space_group_name_Hall '-P 4 2'
loop_
_atom_site_label
_atom_site_fract_x
_atom_site_fract_y
_atom_site_fract_z
Ti1 0.000 0.000 0.000
Co1 0.000 0.500 0.500
Re1 0.500 0.500 0.000
H1 0.500 0.500 0.500
```

Fermi-level density of states: 0.811 states/eV per atom
relative energy among the computed polymorphs: 40.8 meV per atom

---

11.
Ag2PHO4: relaxed, PBE-GGA.

Cell and atoms, written as CIF:
```
data_Ag2PHO4
_chemical_formula_sum 'Ag6 P3 H3 O12'
_cell_length_a 6.4684
_cell_length_b 6.4684
_cell_length_c 8.6496
_cell_angle_alpha 90.00
_cell_angle_beta 90.00
_cell_angle_gamma 120.00
_space_group_name_H-M_alt 'P 31 1 2'
_space_group_IT_number 151
loop_
_space_group_symop_operation_xyz
'x,y,z'
'-y,x-y,z+1/3'
'-x+y,-x,z+2/3'
'-y,-x,-z+2/3'
'-x+y,y,-z+1/3'
'x,x-y,-z'
loop_
_atom_site_label
_atom_site_fract_x
_atom_site_fract_y
_atom_site_fract_z
Ag1 0.1374 0.0687 0.0000
Ag2 0.2004 0.4009 0.6667
P1 0.5078 0.0157 0.6667
H1 0.6515 0.3030 0.1667
O1 0.1446 0.4050 0.9224
O2 0.4732 0.1755 0.7875
```

relative energy among the computed polymorphs: 0.0 meV per atom

---

12.
Sr2CuSiPd6: relaxed, PBE-GGA.

Cell and atoms, written as CIF:
```
data_Sr2CuSiPd6
_chemical_formula_sum 'Sr2 Cu1 Si1 Pd6'
_cell_length_a 5.677
_cell_length_b 6.504
_cell_length_c 6.859
_cell_angle_alpha 85.11
_cell_angle_beta 65.71
_cell_angle_gamma 64.14
_space_group_name_H-M_alt 'P -1'
_space_group_IT_number 2
loop_
_space_group_symop_operation_xyz
'x,y,z'
'-x,-y,-z'
loop_
_atom_site_label
_atom_site_fract_x
_atom_site_fract_y
_atom_site_fract_z
Sr1 0.037 0.231 0.196
Cu1 0.500 0.500 0.000
Si1 0.500 0.000 0.500
Pd1 0.013 0.242 0.723
Pd2 0.370 0.381 0.384
Pd3 0.477 0.760 0.276
```

Fermi-level density of states: 0.358 states/eV per atom
raw formation energy: -517 meV per atom

---

| no. | magnetic moment (μB per formula unit) | density (Mg/m³) | calculated volume (Å³/f.u.) |
| --- | --- | --- | --- |
| 1 | 0.000 | 7.087 | 127 |
| 2 | 0.000 | 12.147 | 72 |
| 3 | 0.000 | 7.164 | 299 |
| 4 | 0.986 | 3.974 | 249 |
| 5 | 0.000 | 4.330 | 218 |
| 6 | 3.000 | 3.806 | 137 |
| 7 | 0.000 | 6.333 | 167 |
| 8 | 0.033 | 6.572 | 114 |
| 9 | 1.564 | 6.647 | 96 |
| 10 | 0.000 | 11.064 | 53 |
| 11 | 0.000 | 4.955 | 104 |
| 12 | 0.000 | 7.286 | 206 |